[1]
Entry from Alexandria: an optimized crystal structure of TaGeRhO6 (GGA-PBE).

Calculated values
final energy: -7.640 eV/atom
formation energy from raw total energies: -1.688 eV/atom
SG: P-31c, No. 163

a b c (Å): 5.0980 5.0980 8.6827
angles (deg): 90.00 90.00 120.00
Closest atoms and distances in Å follow each position.
Element x y z (fractional)
Ta: 0.3333 0.6667 0.2500  6 O 2.00
Ta: 0.6667 0.3333 0.7500  6 O 2.00
Ge: 0.6667 0.3333 0.2500  6 O 1.93
Ge: 0.3333 0.6667 0.7500  6 O 1.93
Rh: 0.0000 0.0000 0.0000  6 O 2.10
Rh: 0.0000 0.0000 0.5000  6 O 2.10
O: 0.6590 0.6483 0.1305  1 Ge 1.93, 1 Ta 2.00, 1 Rh 2.10
O: 0.9892 0.3410 0.1305  1 Ge 1.93, 1 Ta 2.00, 1 Rh 2.10
O: 0.3410 0.9892 0.6305  1 Ge 1.93, 1 Ta 2.00, 1 Rh 2.10
O: 0.0108 0.6590 0.8695  1 Ge 1.93, 1 Ta 2.00, 1 Rh 2.10
O: 0.3517 0.3410 0.3695  1 Ge 1.93, 1 Ta 2.00, 1 Rh 2.10
O: 0.9892 0.6483 0.3695  1 Ge 1.93, 1 Ta 2.00, 1 Rh 2.10
O: 0.6483 0.9892 0.8695  1 Ge 1.93, 1 Ta 2.00, 1 Rh 2.10
O: 0.6590 0.0108 0.3695  1 Ge 1.93, 1 Ta 2.00, 1 Rh 2.10
O: 0.0108 0.3517 0.6305  1 Ge 1.93, 1 Ta 2.00, 1 Rh 2.10
O: 0.3517 0.0108 0.1305  1 Ge 1.93, 1 Ta 2.00, 1 Rh 2.10
O: 0.6483 0.6590 0.6305  1 Ge 1.93, 1 Ta 2.00, 1 Rh 2.10
O: 0.3410 0.3517 0.8695  1 Ge 1.93, 1 Ta 2.00, 1 Rh 2.10

=====

[2]
Entry from Alexandria: an optimized crystal structure of TcGeRhO6 (GGA-PBE).

Calculated values
final energy: -6.932 eV/atom
formation energy from raw total energies: -1.145 eV/atom
density of states at the Fermi level: 8.33 states/eV/cell
SG: P-31c, No. 163

a b c (Å): 5.0567 5.0567 8.5792
angles (deg): 90.00 90.00 120.00
Closest atoms and distances in Å follow each position.
Element x y z (fractional)
Tc: 0.3333 0.6667 0.2500  6 O 1.97
Tc: 0.6667 0.3333 0.7500  6 O 1.97
Ge: 0.6667 0.3333 0.2500  6 O 1.92
Ge: 0.3333 0.6667 0.7500  6 O 1.92
Rh: 0.0000 0.0000 0.0000  6 O 2.08
Rh: 0.0000 0.0000 0.5000  6 O 2.08
O: 0.6567 0.6488 0.1295  1 Ge 1.92, 1 Tc 1.97, 1 Rh 2.08
O: 0.9921 0.3433 0.1295  1 Ge 1.92, 1 Tc 1.97, 1 Rh 2.08
O: 0.3433 0.9921 0.6295  1 Ge 1.92, 1 Tc 1.97, 1 Rh 2.08
O: 0.0079 0.6567 0.8705  1 Ge 1.92, 1 Tc 1.97, 1 Rh 2.08
O: 0.3512 0.3433 0.3705  1 Ge 1.92, 1 Tc 1.97, 1 Rh 2.08
O: 0.9921 0.6488 0.3705  1 Ge 1.92, 1 Tc 1.97, 1 Rh 2.08
O: 0.6488 0.9921 0.8705  1 Ge 1.92, 1 Tc 1.97, 1 Rh 2.08
O: 0.6567 0.0079 0.3705  1 Ge 1.92, 1 Tc 1.97, 1 Rh 2.08
O: 0.0079 0.3512 0.6295  1 Ge 1.92, 1 Tc 1.97, 1 Rh 2.08
O: 0.3512 0.0079 0.1295  1 Ge 1.92, 1 Tc 1.97, 1 Rh 2.08
O: 0.6488 0.6567 0.6295  1 Ge 1.92, 1 Tc 1.97, 1 Rh 2.08
O: 0.3433 0.3512 0.8705  1 Ge 1.92, 1 Tc 1.97, 1 Rh 2.08

=====

[3]
Entry from Alexandria: an optimized crystal structure of GeTeRhO6 (GGA-PBE).

Calculated values
final energy: -5.932 eV/atom
formation energy from raw total energies: -0.947 eV/atom
density of states at the Fermi level: 8.78 states/eV/cell
SG: P-31c, No. 163

a b c (Å): 5.1396 5.1396 8.9080
angles (deg): 90.00 90.00 120.00
Closest atoms and distances in Å follow each position.
Element x y z (fractional)
Ge: 0.3333 0.6667 0.2500  6 O 1.94
Ge: 0.6667 0.3333 0.7500  6 O 1.94
Te: 0.6667 0.3333 0.2500  6 O 2.02
Te: 0.3333 0.6667 0.7500  6 O 2.02
Rh: 0.0000 0.0000 0.0000  6 O 2.15
Rh: 0.0000 0.0000 0.5000  6 O 2.15
O: 0.6440 0.6556 0.1313  1 Ge 1.94, 1 Te 2.02, 1 Rh 2.15
O: 0.0115 0.3560 0.1313  1 Ge 1.94, 1 Te 2.02, 1 Rh 2.15
O: 0.3560 0.0115 0.6313  1 Ge 1.94, 1 Te 2.02, 1 Rh 2.15
O: 0.9885 0.6440 0.8687  1 Ge 1.94, 1 Te 2.02, 1 Rh 2.15
O: 0.3444 0.3560 0.3687  1 Ge 1.94, 1 Te 2.02, 1 Rh 2.15
O: 0.0115 0.6556 0.3687  1 Ge 1.94, 1 Te 2.02, 1 Rh 2.15
O: 0.6556 0.0115 0.8687  1 Ge 1.94, 1 Te 2.02, 1 Rh 2.15
O: 0.6440 0.9885 0.3687  1 Ge 1.94, 1 Te 2.02, 1 Rh 2.15
O: 0.9885 0.3444 0.6313  1 Ge 1.94, 1 Te 2.02, 1 Rh 2.15
O: 0.3444 0.9885 0.1313  1 Ge 1.94, 1 Te 2.02, 1 Rh 2.15
O: 0.6556 0.6440 0.6313  1 Ge 1.94, 1 Te 2.02, 1 Rh 2.15
O: 0.3560 0.3444 0.8687  1 Ge 1.94, 1 Te 2.02, 1 Rh 2.15

=====

Number 1: size of the total moment 0.0 μB per cell. Number 2: size of the total moment 3.9 μB per cell. Number 3: size of the total moment 0.0 μB per cell.